Density functional theory data (GGA+U) for an optimized crystal structure of TlCr2F.

abc: 4.793 4.793 4.793
angles: 60.00 60.00 60.00
Atoms (fractional coordinates):
Cr: 0.250 0.250 0.250
Cr: 0.750 0.750 0.750
F: 0.000 0.000 0.000
Tl: 0.500 0.500 0.500

Output
Its energy above the most stable polymorph in this dataset is 12.0 kJ/mol of atoms. The calculation puts the total energy at -4.8694 eV/atom.